## Na2PrNi3F12 (GGA+U)

Data for a relaxed Na2PrNi3F12 crystal.

Values from the calculation:
Magnetic moment ... 15.00 μB/cell
E ... -4.67 eV per atom

Cell and atoms, written as CIF:
```
data_Na2PrNi3F12
_chemical_formula_sum 'Na6 Pr3 Ni9 F36'
_space_group_name_H-M_alt 'R -3 m'
_space_group_IT_number 166
_space_group_name_Hall '-R 3 2"'
_cell_length_a 7.4142
_cell_length_b 7.4142
_cell_length_c 15.7690
_cell_angle_alpha 90.00
_cell_angle_beta 90.00
_cell_angle_gamma 120.00
loop_
_atom_site_label
_atom_site_type_symbol
_atom_site_fract_x
_atom_site_fract_y
_atom_site_fract_z
_atom_site_occupancy
Na1 Na 0.0000 0.0000 0.1342 1
Pr1 Pr 0.0000 0.0000 0.5000 1
Ni1 Ni 0.0000 0.5000 0.0000 1
F1 F 0.0419 0.5209 0.8780 1
F2 F 0.0858 0.5429 0.3027 1
```